1.
The following is a DFT calculation (PBE) of crystalline Pu2Ag4S5 at its relaxed geometry.

```
data_Pu2Ag4S5
_cell_length_a 4.1171
_cell_length_b 4.1171
_cell_length_c 17.1571
_cell_angle_alpha 83.11
_cell_angle_beta 83.11
_cell_angle_gamma 60.00
_space_group_name_H-M_alt 'P 1'
_space_group_IT_number 1
loop_
_space_group_symop_operation_xyz
'x,y,z'
loop_
_atom_site_label
_atom_site_type_symbol
_atom_site_fract_x
_atom_site_fract_y
_atom_site_fract_z
Pu1 Pu 0.1347 0.1347 0.5959
Pu2 Pu 0.8653 0.8653 0.4041
Ag1 Ag 0.6920 0.6920 0.9241
Ag2 Ag 0.5835 0.5835 0.2496
Ag3 Ag 0.4165 0.4165 0.7504
Ag4 Ag 0.3080 0.3080 0.0759
S1 S 0.7741 0.7741 0.6778
S2 S 0.6317 0.6317 0.1048
S3 S 0.5000 0.5000 0.5000
S4 S 0.3683 0.3683 0.8952
S5 S 0.2259 0.2259 0.3222
```

* energy: -6.1981 eV per atom
* N(E_F): 19.635 states/eV/f.u.
* ΔE_f (raw): -0.679 eV/atom
* volume: 22.7 A^3/atom

2.
The following is a DFT calculation (PBE) of crystalline Pu2AgS at its relaxed geometry.

```
data_Pu2AgS
_cell_length_a 3.7365
_cell_length_b 3.7365
_cell_length_c 8.4748
_cell_angle_alpha 77.26
_cell_angle_beta 77.26
_cell_angle_gamma 60.00
_space_group_name_H-M_alt 'P 1'
_space_group_IT_number 1
loop_
_space_group_symop_operation_xyz
'x,y,z'
loop_
_atom_site_label
_atom_site_type_symbol
_atom_site_fract_x
_atom_site_fract_y
_atom_site_fract_z
S1 S 0.0000 0.0000 0.0000
Ag1 Ag 0.5000 0.5000 0.5000
Pu1 Pu 0.7376 0.7376 0.7871
Pu2 Pu 0.2624 0.2624 0.2129
```

* energy: -9.5246 eV per atom
* N(E_F): 17.447 states/eV/f.u.
* ΔE_f (raw): -0.614 eV/atom
* volume: 24.8 A^3/atom

3.
The following is a DFT calculation (PBE) of crystalline PuAg2SbS4 at its relaxed geometry.

```
data_PuAg2SbS4
_cell_length_a 7.9410
_cell_length_b 7.9410
_cell_length_c 8.0290
_cell_angle_alpha 120.36
_cell_angle_beta 120.36
_cell_angle_gamma 91.26
_space_group_name_H-M_alt 'P 1'
_space_group_IT_number 1
loop_
_space_group_symop_operation_xyz
'x,y,z'
loop_
_atom_site_label
_atom_site_type_symbol
_atom_site_fract_x
_atom_site_fract_y
_atom_site_fract_z
Pu1 Pu 0.0000 0.5000 0.0000
Pu2 Pu 0.0000 0.5000 0.5000
Ag1 Ag 0.5000 0.0000 0.0000
Ag2 Ag 0.5000 0.0000 0.5000
Ag3 Ag 0.0000 0.0000 0.5000
Ag4 Ag 0.5000 0.5000 0.0000
Sb1 Sb 0.5000 0.5000 0.5000
Sb2 Sb 0.0000 0.0000 0.0000
S1 S 0.2414 0.7531 0.9972
S2 S 0.7469 0.2586 0.5028
S3 S 0.2531 0.7413 0.4972
S4 S 0.7587 0.2469 0.0028
S5 S 0.7532 0.7467 0.9995
S6 S 0.7533 0.7468 0.5005
S7 S 0.2467 0.2533 0.4995
S8 S 0.2467 0.2533 0.0005
```

* energy: -5.6431 eV per atom
* N(E_F): 9.179 states/eV/f.u.
* ΔE_f (raw): -0.560 eV/atom
* volume: 21.9 A^3/atom

4.
The following is a DFT calculation (PBE) of crystalline PuScAg2S4 at its relaxed geometry.

```
data_PuScAg2S4
_cell_length_a 3.9445
_cell_length_b 6.8525
_cell_length_c 6.6897
_cell_angle_alpha 113.55
_cell_angle_beta 90.00
_cell_angle_gamma 90.00
_space_group_name_H-M_alt 'P 1'
_space_group_IT_number 1
loop_
_space_group_symop_operation_xyz
'x,y,z'
loop_
_atom_site_label
_atom_site_type_symbol
_atom_site_fract_x
_atom_site_fract_y
_atom_site_fract_z
Pu1 Pu 0.5000 0.5000 0.0000
Sc1 Sc 0.0000 0.0000 0.0000
Ag1 Ag 0.5000 0.0000 0.5000
Ag2 Ag 0.0000 0.5000 0.5000
S1 S 0.5000 0.2443 0.2336
S2 S 0.5000 0.7557 0.7664
S3 S 0.0000 0.2285 0.7679
S4 S 0.0000 0.7715 0.2321
```

* energy: -6.4345 eV per atom
* N(E_F): 10.265 states/eV/f.u.
* ΔE_f (raw): -1.075 eV/atom
* volume: 20.7 A^3/atom

5.
The following is a DFT calculation (PBE) of crystalline PuSc2Ag2S6 at its relaxed geometry.

```
data_PuSc2Ag2S6
_cell_length_a 6.6667
_cell_length_b 6.6667
_cell_length_c 6.5142
_cell_angle_alpha 94.51
_cell_angle_beta 94.51
_cell_angle_gamma 120.43
_space_group_name_H-M_alt 'P 1'
_space_group_IT_number 1
loop_
_space_group_symop_operation_xyz
'x,y,z'
loop_
_atom_site_label
_atom_site_type_symbol
_atom_site_fract_x
_atom_site_fract_y
_atom_site_fract_z
Pu1 Pu 0.0000 0.0000 0.5000
Sc1 Sc 0.3355 0.6645 0.5000
Sc2 Sc 0.6645 0.3355 0.5000
Ag1 Ag 0.8717 0.1283 0.0000
Ag2 Ag 0.1283 0.8717 0.0000
S1 S 0.6946 0.6946 0.7221
S2 S 0.0310 0.3778 0.7188
S3 S 0.3054 0.3054 0.2779
S4 S 0.3778 0.0310 0.7188
S5 S 0.9690 0.6222 0.2812
S6 S 0.6222 0.9690 0.2812
```

* energy: -6.4618 eV per atom
* N(E_F): 8.207 states/eV/f.u.
* ΔE_f (raw): -1.238 eV/atom
* volume: 22.4 A^3/atom

6.
The following is a DFT calculation (PBE) of crystalline PuSiAg2S4 at its relaxed geometry.

```
data_PuSiAg2S4
_cell_length_a 7.7337
_cell_length_b 7.7337
_cell_length_c 7.8806
_cell_angle_alpha 120.66
_cell_angle_beta 120.66
_cell_angle_gamma 92.55
_space_group_name_H-M_alt 'P 1'
_space_group_IT_number 1
loop_
_space_group_symop_operation_xyz
'x,y,z'
loop_
_atom_site_label
_atom_site_type_symbol
_atom_site_fract_x
_atom_site_fract_y
_atom_site_fract_z
Pu1 Pu 0.0000 0.5000 0.0000
Pu2 Pu 0.0000 0.5000 0.5000
Si1 Si 0.5000 0.5000 0.5000
Si2 Si 0.0000 0.0000 0.0000
Ag1 Ag 0.5000 0.0000 0.0000
Ag2 Ag 0.5000 0.0000 0.5000
Ag3 Ag 0.0000 0.0000 0.5000
Ag4 Ag 0.5000 0.5000 0.0000
S1 S 0.2237 0.7821 0.0031
S2 S 0.7180 0.2763 0.4969
S3 S 0.2820 0.7237 0.5031
S4 S 0.7763 0.2179 0.9969
S5 S 0.7551 0.7458 0.9716
S6 S 0.7542 0.7449 0.5284
S7 S 0.2458 0.2551 0.4716
S8 S 0.2449 0.2542 0.0284
```

* energy: -5.7857 eV per atom
* N(E_F): 10.317 states/eV/f.u.
* ΔE_f (raw): -0.540 eV/atom
* volume: 19.9 A^3/atom

7.
The following is a DFT calculation (PBE) of crystalline Pu3Ag3SnS8 at its relaxed geometry.

```
data_Pu3Ag3SnS8
_cell_length_a 8.0815
_cell_length_b 8.0791
_cell_length_c 7.6094
_cell_angle_alpha 122.13
_cell_angle_beta 90.00
_cell_angle_gamma 120.01
_space_group_name_H-M_alt 'P 1'
_space_group_IT_number 1
loop_
_space_group_symop_operation_xyz
'x,y,z'
loop_
_atom_site_label
_atom_site_type_symbol
_atom_site_fract_x
_atom_site_fract_y
_atom_site_fract_z
Pu1 Pu 0.5000 0.0000 0.5000
Pu2 Pu 0.5000 0.5000 0.5000
Pu3 Pu 0.0000 0.5000 0.5000
Ag1 Ag 0.0000 0.0000 0.0000
Ag2 Ag 0.0000 0.5000 0.0000
Ag3 Ag 0.5000 0.5000 0.0000
Sn1 Sn 0.0000 0.0000 0.5000
S1 S 0.2535 0.5070 0.2611
S2 S 0.7465 0.4930 0.7389
S3 S 0.7580 0.5159 0.2631
S4 S 0.2420 0.4841 0.7369
S5 S 0.7579 0.0045 0.2630
S6 S 0.2421 0.9955 0.7370
S7 S 0.2466 0.0045 0.2630
S8 S 0.7534 0.9955 0.7370
```

* energy: -6.7940 eV per atom
* N(E_F): 27.394 states/eV/f.u.
* ΔE_f (raw): -0.889 eV/atom
* volume: 22.6 A^3/atom

8.
The following is a DFT calculation (PBE) of crystalline Sr2PuAgS4 at its relaxed geometry.

```
data_Sr2PuAgS4
_cell_length_a 4.1708
_cell_length_b 7.1259
_cell_length_c 7.1334
_cell_angle_alpha 110.17
_cell_angle_beta 90.00
_cell_angle_gamma 90.00
_space_group_name_H-M_alt 'P 1'
_space_group_IT_number 1
loop_
_space_group_symop_operation_xyz
'x,y,z'
loop_
_atom_site_label
_atom_site_type_symbol
_atom_site_fract_x
_atom_site_fract_y
_atom_site_fract_z
Sr1 Sr 0.5000 0.0000 0.5000
Sr2 Sr 0.0000 0.5000 0.5000
Pu1 Pu 0.5000 0.5000 0.0000
Ag1 Ag 0.0000 0.0000 0.0000
S1 S 0.5000 0.2514 0.2317
S2 S 0.5000 0.7486 0.7683
S3 S 0.0000 0.2672 0.7662
S4 S 0.0000 0.7328 0.2338
```

* energy: -6.1437 eV per atom
* N(E_F): 12.527 states/eV/f.u.
* ΔE_f (raw): -1.512 eV/atom
* volume: 24.9 A^3/atom